Density functional theory data (PBE) for a geometry-optimized SnBi3Se structure.

Properties
For the total energy, the calculation gives -2.99 eV per atom. Its space-group type is No. 221. Its density of states at the Fermi level is 6.6 states/eV per cell. The energy above the most stable polymorph in this dataset is 0.373 eV per atom. The calculation puts the volume at 192.6 Å³ per cell.

Cell and atoms, written as POSCAR:
```
SnBi3Se
1.0
5.7746 0.0000 0.0000
0.0000 5.7746 0.0000
0.0000 0.0000 5.7746
Se Bi Sn
1 3 1
Cartesian
2.8873 2.8873 2.8873
0.0000 0.0000 2.8873
2.8873 0.0000 0.0000
0.0000 2.8873 0.0000
0.0000 0.0000 0.0000
```

Density functional theory data (PBE) for a geometry-optimized Li2LaCl structure.

Properties
For the total energy, the calculation gives -3.27 eV per atom. Its space-group type is No. 8. Its density of states at the Fermi level is 1.8 states/eV per cell. The energy above the most stable polymorph in this dataset is 0.104 eV per atom. The calculation puts the volume at 97.6 Å³ per cell.

Cell and atoms, written as POSCAR:
```
Li2LaCl
1.0
5.8401 -0.0040 0.0025
4.9160 3.1526 0.0025
2.7702 0.8109 5.2974
Li Cl La
2 1 1
Cartesian
3.0424 0.8906 5.2823
10.9995 3.2199 4.0315
5.9269 1.7350 2.0091
3.0909 0.9048 1.9278
```

Density functional theory data (PBE) for a geometry-optimized Cs3Sn2Cl6 structure.

Properties
For the total energy, the calculation gives -3.38 eV per atom. Its space-group type is No. 139. Its density of states at the Fermi level is 2.4 states/eV per cell. The calculation puts the volume at 411.1 Å³ per cell.

Cell and atoms, written as POSCAR:
```
Cs3Sn2Cl6
1.0
-0.3281 -5.5613 0.9491
5.6138 -0.4163 -0.4986
-1.3660 5.0704 12.4130
Cs Sn Cl
3 2 6
Cartesian
3.4599 -1.6568 8.3123
0.0000 0.0000 0.0000
0.4598 0.7496 4.5512
1.0883 1.7742 10.7721
2.8314 -2.6814 2.0914
0.7982 1.3012 7.9002
3.1215 -2.2084 4.9632
3.8701 1.5251 10.2741
3.0205 0.1402 1.8655
0.8991 -1.0474 10.9980
0.0496 -2.4323 2.5893
```

Density functional theory data (PBE) for a geometry-optimized PuBi2Pd structure.

Properties
For the energy relative to the elements, the calculation gives -28 kJ/mol of atoms. For the total energy, the calculation gives -7.12 eV per atom. Its space-group type is No. 123. Its density of states at the Fermi level is 13.2 states/eV per cell. The calculation puts the volume at 99.9 Å³ per cell.

Cell and atoms, written as POSCAR:
```
PuBi2Pd
1.0
4.2620 0.0000 0.0000
0.0000 4.8408 0.0000
0.0000 0.0000 4.8408
Bi Pu Pd
2 1 1
Cartesian
0.0000 2.4204 0.0000
0.0000 0.0000 2.4204
2.1310 2.4204 2.4204
2.1310 0.0000 0.0000
```

Density functional theory data (PBE) for a geometry-optimized Zr5Al2Cu structure.

Properties
For the energy relative to the elements, the calculation gives 3 kJ/mol of atoms. For the total energy, the calculation gives -6.76 eV per atom. Its space-group type is No. 71. Its density of states at the Fermi level is 8.2 states/eV per cell. The energy above the most stable polymorph in this dataset is 0.283 eV per atom. The calculation puts the volume at 165.4 Å³ per cell.

Cell and atoms, written as POSCAR:
```
Zr5Al2Cu
1.0
-1.5159 4.9312 5.5303
1.5159 -4.9312 5.5303
1.5159 4.9312 -5.5303
Zr Al Cu
5 2 1
Cartesian
0.0000 2.2388 7.0078
0.0000 4.9312 0.0000
1.5159 2.6924 1.4776
0.0000 2.2388 4.0527
1.5159 2.6924 -1.4776
1.5159 0.0000 2.5192
0.0000 4.9312 3.0111
0.0000 0.0000 0.0000
```

Density functional theory data (PBE) for a geometry-optimized ZrNpMo structure.

Properties
For the energy relative to the elements, the calculation gives 10 kJ/mol of atoms. For the total energy, the calculation gives -10.67 eV per atom. Its space-group type is No. 166. Its density of states at the Fermi level is 33.5 states/eV per cell. The calculation puts the volume at 349.7 Å³ per cell.

Cell and atoms, written as POSCAR:
```
ZrNpMo
1.0
-0.7944 1.4207 -5.2781
2.4746 -2.8531 -4.0304
-9.8532 -8.6254 -3.7286
Np Zr Mo
6 6 6
Cartesian
-1.5635 -4.6999 -5.2024
-6.6095 -5.3578 -7.8348
-6.1677 -6.1480 -4.8992
-4.7913 -7.7348 -7.1408
-3.3817 -2.3229 -5.8963
-2.0054 -3.9098 -8.1380
-4.0017 -5.8782 -9.6500
-6.6906 -7.9821 -9.8116
-1.4825 -2.0757 -3.2256
-4.1714 -4.1796 -3.3872
0.4657 -2.3826 -9.3815
-8.6388 -7.6751 -3.6557
1.2373 -1.4265 -2.0152
-7.5236 -7.7182 -6.7251
0.8401 -0.7162 -4.6543
-0.6495 -2.3395 -6.3120
-4.0865 -5.0289 -6.5186
-0.3972 0.7103 -2.6391
```

Density functional theory data (PBE) for a geometry-optimized Na2PaAgSe4 structure.

Properties
For the total energy, the calculation gives -4.67 eV per atom. Its space-group type is No. 10. The calculation puts the volume at 203.6 Å³ per cell.

Cell and atoms, written as POSCAR:
```
Na2PaAgSe4
1.0
4.2346 0.0000 0.0000
0.0000 6.8621 0.0798
0.0000 -2.4403 6.9770
Pa Se Na Ag
1 4 2 1
Cartesian
2.1173 3.4310 0.0399
2.1173 3.2142 5.4454
0.0000 -0.0476 5.4075
2.1173 1.2076 1.6113
0.0000 4.4694 1.6493
2.1173 -1.2201 3.4885
0.0000 2.2109 3.5284
0.0000 0.0000 0.0000
```

Density functional theory data (PBE) for a geometry-optimized TeHSeBr2 structure.

Properties
For the total energy, the calculation gives -2.18 eV per atom. Its space-group type is No. 123. Its density of states at the Fermi level is 1.0 states/eV per cell. The energy above the most stable polymorph in this dataset is 0.065 eV per atom. The calculation puts the volume at 169.4 Å³ per cell.

Cell and atoms, written as POSCAR:
```
TeHSeBr2
1.0
5.6537 0.0000 0.0000
0.0000 5.6537 0.0000
0.0000 0.0000 5.3007
Br H Se Te
2 1 1 1
Cartesian
0.0000 2.8269 0.0000
2.8269 0.0000 0.0000
2.8269 2.8269 2.6504
0.0000 0.0000 2.6504
0.0000 0.0000 0.0000
```